1.
This record from Alexandria describes an optimized crystal structure of Co2CuSe. The functional is PBEsol.

Symmetry: Imm2, No. 44
Raw formation energy in eV per atom: 0.260
DFT total energy in eV per atom: -5.654
Spin magnetization in Bohr magnetons per cell: 2.4

a = 3.299 Å, b = 3.718 Å, c = 4.615 Å
α = 113.75°, β = 110.94°, γ = 90.00°
Each line ends with the local moment (μB).
Sites, in units of the cell vectors:
Co (0.987, 0.987, 0.974)  1.24
Co (0.743, 0.243, 0.486)  1.12
Cu (0.508, 0.508, 0.016)  0.07
Se (0.262, 0.762, 0.525)  0.03

2.
This record from Alexandria describes an optimized crystal structure of CoCu2Se. The functional is PBEsol.

Symmetry: I-4m2, No. 119
Raw formation energy in eV per atom: 0.221
DFT total energy in eV per atom: -4.843
Spin magnetization in Bohr magnetons per cell: 0.9

a = 3.672 Å, b = 3.672 Å, c = 4.478 Å
α = 114.20°, β = 114.20°, γ = 90.00°
Each line ends with the local moment (μB).
Sites, in units of the cell vectors:
Co (0.250, 0.750, 0.500)  0.91
Cu (0.000, 0.000, 0.000)  0.01
Cu (0.750, 0.250, 0.500)  0.03
Se (0.500, 0.500, 0.000)  0.03